No. 1
The following is a PBE calculation of Cs3Rb3As2 after structural relaxation, from Alexandria.

Geometry as extended XYZ:
```
32
Lattice="-4.703 -5.513 -1.481 4.034 -5.665 8.276 -14.349 8.751 12.986" Properties=species:S:1:pos:R:3 pbc="T T T"
Rb -11.303 -3.211 15.728
Rb -7.594 -6.014 11.457
Rb -7.275 -1.437 11.873
Rb -3.714 0.784 4.052
Rb -2.820 -3.365 7.836
Rb -7.423 3.586 8.323
Rb -1.720 -9.597 6.140
Rb -7.743 -0.991 7.908
Rb -1.868 -4.573 2.591
Rb -13.149 2.146 17.189
Rb -13.297 7.169 13.640
Rb -12.197 0.938 11.944
Cs 0.219 -7.097 8.654
Cs 0.196 -1.926 5.145
Cs -11.038 -3.048 10.856
Cs -3.980 0.621 8.924
Cs -10.811 4.519 11.062
Cs -4.206 -6.946 8.718
Cs -15.214 -0.501 14.636
Cs -11.060 2.123 7.347
Cs -3.957 -4.551 12.433
Cs -9.504 0.854 14.976
Cs -5.513 -3.281 4.804
Cs -15.236 4.670 11.126
As -1.912 -5.960 5.874
As -5.284 -4.715 1.309
As -5.807 -3.585 9.398
As -13.105 3.533 13.907
As -9.210 1.157 10.382
As -5.839 -0.087 14.947
As -9.179 -2.340 4.834
As -9.733 2.288 18.471
```

Values from the calculation:
Size of the total moment (μB per formula unit): 0.000
Energy relative to the elements (eV per formula unit): -1.7
Total DFT energy (no corrections) (eV per formula unit): -16.5
DOS at the Fermi energy (states/eV/cell): 34.5
Crystal system: orthorhombic

***

No. 2
The following is a PBE calculation of Cu2SiS3 after structural relaxation, from Alexandria.

Geometry as extended XYZ:
```
6
Lattice="3.678 0.000 0.000 0.000 5.300 0.000 -1.839 -2.650 5.494" Properties=species:S:1:pos:R:3 pbc="T T T"
Cu 0.000 3.923 1.791
Cu 1.839 1.272 3.703
S 0.000 0.100 0.000
S 0.000 -0.081 3.701
S 1.839 2.569 1.794
Si 1.839 1.455 0.000
```

Values from the calculation:
Size of the total moment (μB per formula unit): 0.000
Uncorrected formation energy (eV/atom): -0.43
Total DFT energy (no corrections) (eV per formula unit): -28.6
DOS at the Fermi energy (states/eV/cell): 0.3
Crystal system: orthorhombic